First-principles (PBE-GGA) data for crystalline TmBiPd14 at its relaxed geometry, as listed in the Alexandria database.

Lattice parameters (Å, degrees): 5.7461 5.7461 7.9408 90.00 90.00 90.00
Last column: nearest neighbours and their distance in Å.
Space group P4/mmm (No. 123)
Inequivalent atoms, fractional coordinates:
1 Tm 0.0000 0.0000 0.0000 x1  12 Pd 2.87
2 Bi 0.5000 0.5000 0.0000 x1  12 Pd 2.87-2.89
3 Pd 0.0000 0.0000 0.5000 x1  12 Pd 2.80-2.87
4 Pd 0.0000 0.5000 0.0000 x2  2 Bi 2.87, 2 Tm 2.87, 8 Pd 2.88
5 Pd 0.0000 0.5000 0.5000 x2  12 Pd 2.80-2.87
6 Pd 0.2488 0.2488 0.2568 x8  10 Pd 2.80-2.89, 1 Tm 2.87, 1 Bi 2.89
7 Pd 0.5000 0.5000 0.5000 x1  12 Pd 2.81-2.87

## Properties
Energy of formation from the pure elements ... -0.2769 eV per atom
N(E_F) ... 26.06 states/eV/cell
Total magnetic moment ... 0.000 μB/atom
Uncorrected energy ... -5.34 eV/atom


First-principles (PBE-GGA) data for crystalline Pa3Co6Si2 at its relaxed geometry, as listed in the Alexandria database.

Lattice parameters (Å, degrees): 8.6331 8.6331 8.6331 90.00 90.00 90.00
Last column: nearest neighbours and their distance in Å.
Space group Im-3m (No. 229)
Inequivalent atoms, fractional coordinates:
1 Pa 0.0000 0.0000 0.2788 x12  4 Co 2.67
2 Co 0.0000 0.3476 0.3476 x24  2 Si 2.47, 6 Co 2.51-2.63, 2 Pa 2.67
3 Si 0.2500 0.2500 0.2500 x8  6 Co 2.47

## Properties
Formation energy from raw total energies ... -0.59 eV/atom
N(E_F) ... 42.88 states/eV/cell
Total magnetic moment ... 0.120 μB/atom
Uncorrected energy ... -8.04 eV/atom